Entry 1:
CaLaO2 | PBE-GGA | relaxed

Results
crystal system: cubic
polymorph energy (0 for the lowest one): 2.05 eV per formula unit
energy relative to the elements, uncorrected: -221.6 kJ per mole of atoms
VASP energy: -26.032 eV per cell
total moment: 0.000 μB/cell
symmetry: Fm-3m, No. 225

Cell and atoms, written as extended XYZ:
```
4
Lattice="0.0000 3.0448 3.0448 3.0448 0.0000 3.0448 3.0448 3.0448 0.0000" Properties=species:S:1:pos:R:3 pbc="T T T"
Ca 0.0000 0.0000 0.0000
La 3.0448 3.0448 3.0448
O 1.5224 1.5224 1.5224
O 4.5672 4.5672 4.5672
```

Entry 2:
CaLaO2 | PBE-GGA | relaxed

Results
crystal system: tetragonal
polymorph energy (0 for the lowest one): 0.56 eV per formula unit
energy relative to the elements, uncorrected: -257.6 kJ per mole of atoms
VASP energy: -55.047 eV per cell
total moment: 1.675 μB/cell
symmetry: I-42d, No. 122

Cell and atoms, written as extended XYZ:
```
8
Lattice="-2.7380 2.7380 5.5041 2.7380 -2.7380 5.5041 2.7380 2.7380 -5.5041" Properties=species:S:1:pos:R:3 pbc="T T T"
Ca 0.0000 0.0000 0.0000
Ca 0.0000 2.7380 2.7521
La 2.7380 0.0000 2.7521
La 0.0000 0.0000 5.5041
O 4.1071 1.3673 -1.3760
O 1.3673 1.3690 1.3760
O -1.3690 1.3707 4.1281
O 1.3707 1.3690 6.8801
```

Entry 3:
CaLa5O8 | PBE-GGA | relaxed

Results
crystal system: tetragonal
energy relative to the elements, uncorrected: -302.6 kJ per mole of atoms
VASP energy: -110.215 eV per cell
total moment: 0.796 μB/cell
symmetry: I-4, No. 82

Cell and atoms, written as extended XYZ:
```
14
Lattice="-3.8176 3.8176 3.7046 3.8176 -3.8176 3.7046 3.8176 3.8176 -3.7046" Properties=species:S:1:pos:R:3 pbc="T T T"
Ca 0.0000 0.0000 0.0000
La 2.7002 1.9549 -0.9934
La 3.8176 0.0000 1.8523
La 1.8627 -1.1174 4.6980
La 1.1174 1.8627 2.7112
La 1.9549 4.9350 0.9934
O 5.2869 0.4293 -0.4002
O 1.3859 -0.5544 2.3684
O 0.4293 2.3483 0.4002
O 2.4317 4.3721 -1.3362
O 3.2632 2.4317 1.3362
O 3.3883 1.4693 4.1048
O 0.5544 1.3859 5.0408
O -1.4693 3.3883 3.3044
```

Entry 4:
CaLaO | PBE-GGA | relaxed

Results
crystal system: monoclinic
polymorph energy (0 for the lowest one): 0.00 eV per formula unit
energy relative to the elements, uncorrected: -166.5 kJ per mole of atoms
VASP energy: -34.129 eV per cell
total moment: 0.409 μB/cell
symmetry: C2/m, No. 12

Cell and atoms, written as extended XYZ:
```
6
Lattice="6.8903 -1.7799 0.0000 6.8903 1.7799 0.0000 -2.9508 0.0000 5.8513" Properties=species:S:1:pos:R:3 pbc="T T T"
Ca 0.5179 0.0000 2.8241
Ca 10.3119 0.0000 3.0272
La 4.8842 0.0000 0.1458
La 5.9456 0.0000 5.7055
O 2.6016 0.0000 1.6524
O 8.2282 0.0000 4.1989
```

Entry 5:
CaLaO | PBE-GGA | relaxed

Results
crystal system: trigonal
polymorph energy (0 for the lowest one): 0.04 eV per formula unit
energy relative to the elements, uncorrected: -165.4 kJ per mole of atoms
VASP energy: -17.029 eV per cell
total moment: 0.408 μB/cell
symmetry: P3m1, No. 156

Cell and atoms, written as extended XYZ:
```
3
Lattice="3.5470 0.0000 0.0000 -1.7735 3.0718 0.0000 0.0000 0.0000 6.5546" Properties=species:S:1:pos:R:3 pbc="T T T"
Ca 0.0000 0.0000 0.0000
La 0.0000 2.0478 2.9040
O 1.7735 1.0239 1.1977
```

Entry 6:
CaLaO2 | PBE-GGA | relaxed

Results
crystal system: trigonal
polymorph energy (0 for the lowest one): 0.53 eV per formula unit
energy relative to the elements, uncorrected: -258.3 kJ per mole of atoms
VASP energy: -27.554 eV per cell
total moment: 0.000 μB/cell
symmetry: R3m, No. 160

Cell and atoms, written as extended XYZ:
```
4
Lattice="1.7132 0.9891 6.2359 -1.7132 0.9891 6.2359 0.0000 -1.9783 6.2359" Properties=species:S:1:pos:R:3 pbc="T T T"
Ca 0.0000 0.0000 0.0000
La 0.0000 0.0000 3.2201
O 0.0000 0.0000 11.1062
O 0.0000 0.0000 14.0395
```